Below is Dy6C2S3O after structural relaxation, with properties calculated at the PBE-GGA level.

The structure belongs to space group C2/m (No. 12); the cell edges are 16.4555, 3.6889 and 7.5766 Å and the angles 90.00°, 105.67° and 90.00°. The asymmetric unit holds Dy at (0.0108, 0.0000, 0.2375), Dy at (0.1613, 0.5000, 0.1071), Dy at (0.1747, 0.5000, 0.5624), C at (0.1634, 0.0000, 0.3266), S at (0.0000, 0.5000, 0.5000), S at (0.1652, 0.0000, 0.8334) and O at (0.0000, 0.5000, 0.0000).

The total DFT energy (no corrections) comes out at -167.342 eV per cell. For the density of states at the Fermi level, the calculation gives 0.2922 states/eV/atom.


Below is Tb5PmY2Ho after structural relaxation, with properties calculated at the PBE-GGA level.

The structure belongs to space group Cmc2_1 (No. 36); the cell edges are 5.6390, 19.8627 and 10.5884 Å and the angles 90.00°, 90.00° and 90.00°. The asymmetric unit holds Tb at (0.0000, 0.0190, 0.0000), Tb at (0.0000, 0.2822, 0.2877), Tb at (0.0000, 0.2983, 0.6834), Tb at (0.0000, 0.3890, 0.9986), Tb at (0.0000, 0.4793, 0.7146), Pm at (0.0000, 0.4152, 0.4309), Y at (0.0000, 0.1110, 0.7104), Y at (0.0000, 0.1142, 0.2959) and Ho at (0.0000, 0.2008, 0.9874).

The energy of formation comes out at 152 meV/atom. The total DFT energy (no corrections) comes out at -176.162 eV per cell. For the density of states at the Fermi level, the calculation gives 1.6460 states/eV/atom.


Below is Pr2NpGe4Ir3 after structural relaxation, with properties calculated at the PBE-GGA level.

The structure belongs to space group P-4m2 (No. 115); the cell edges are 4.2854, 4.2854 and 11.2534 Å and the angles 90.00°, 90.00° and 90.00°. The asymmetric unit holds Pr at (0.0000, 0.5000, 0.2317), Np at (0.0000, 0.0000, 0.5000), Ge at (0.0000, 0.0000, 0.0000), Ge at (0.0000, 0.5000, 0.6705), Ge at (0.5000, 0.5000, 0.0000), Ir at (0.0000, 0.5000, 0.8866) and Ir at (0.5000, 0.5000, 0.5000).

The energy of formation comes out at -573 meV/atom. The total DFT energy (no corrections) comes out at -73.278 eV per cell. For the density of states at the Fermi level, the calculation gives 1.0940 states/eV/atom.


Below is LaScCl2 after structural relaxation, with properties calculated at the PBE-GGA level.

The structure belongs to space group Imm2 (No. 44); the cell edges are 3.4307, 4.8464 and 11.9937 Å and the angles 90.00°, 90.00° and 90.00°. The asymmetric unit holds La at (0.0000, 0.0000, 0.0000), Sc at (0.0000, 0.5000, 0.7691), Cl at (0.0000, 0.0000, 0.4658) and Cl at (0.0000, 0.5000, 0.2782).

The total DFT energy (no corrections) comes out at -38.496 eV per cell. Its relative energy among the computed polymorphs is 0.297 eV/atom. For the density of states at the Fermi level, the calculation gives 0.6556 states/eV/atom.


Below is KLi3Bi4O12 after structural relaxation, with properties calculated at the PBE-GGA level.

The structure belongs to space group Im-3 (No. 204); the cell edges are 8.0639, 8.0639 and 8.0639 Å and the angles 90.00°, 90.00° and 90.00°. The asymmetric unit holds K at (0.0000, 0.0000, 0.0000), Li at (0.0000, 0.0000, 0.5000), Bi at (0.2500, 0.2500, 0.2500) and O at (0.0000, 0.1792, 0.3125).

The total DFT energy (no corrections) comes out at -209.506 eV per cell. For the density of states at the Fermi level, the calculation gives 0.1589 states/eV/atom.


Below is Ac4IrRh after structural relaxation, with properties calculated at the PBE-GGA level.

The structure belongs to space group P2/m (No. 10); the cell edges are 6.9836, 4.3815 and 7.5947 Å and the angles 90.00°, 90.04° and 90.00°. The asymmetric unit holds Ac at (0.2255, 0.0000, 0.1655), Ac at (0.2250, 0.5000, 0.6677), Ir at (0.0000, 0.5000, 0.0000) and Rh at (0.0000, 0.0000, 0.5000).

The energy of formation comes out at -571 meV/atom. The total DFT energy (no corrections) comes out at -36.075 eV per cell. For the density of states at the Fermi level, the calculation gives 0.8908 states/eV/atom.


Question: The highest total DFT energy (no corrections) belongs to which entry?
Answer: Ac4IrRh


Please write out number 4 again, unchanged.
Below is LaScCl2 after structural relaxation, with properties calculated at the PBE-GGA level.

The structure belongs to space group Imm2 (No. 44); the cell edges are 3.4307, 4.8464 and 11.9937 Å and the angles 90.00°, 90.00° and 90.00°. The asymmetric unit holds La at (0.0000, 0.0000, 0.0000), Sc at (0.0000, 0.5000, 0.7691), Cl at (0.0000, 0.0000, 0.4658) and Cl at (0.0000, 0.5000, 0.2782).

The total DFT energy (no corrections) comes out at -38.496 eV per cell. Its relative energy among the computed polymorphs is 0.297 eV/atom. For the density of states at the Fermi level, the calculation gives 0.6556 states/eV/atom.